(1)
# PBE Rb2AuI, optimized geometry
# Distance to the lowest polymorph of the same formula = 0.401 eV/atom
# Uncorrected formation energy = -0.47 eV per atom
# Total magnetic moment = 0.000 μB per atom
data_Rb2AuI
_chemical_formula_sum 'Rb4 Au2 I2'
_symmetry_space_group_name_H-M 'I m m m'
_symmetry_Int_Tables_number 71
_symmetry_space_group_name_Hall '-I 2 2'
_cell_length_a 8.6169
_cell_length_b 12.7742
_cell_length_c 13.1809
_cell_angle_alpha 90.00
_cell_angle_beta 90.00
_cell_angle_gamma 90.00
loop_
_atom_site_label
_atom_site_type_symbol
_atom_site_fract_x
_atom_site_fract_y
_atom_site_fract_z
_atom_site_occupancy
Rb1 Rb 0.0000 0.0000 0.2423 1
Au1 Au 0.0000 0.0000 0.0000 1
I1 I 0.0000 0.0000 0.5000 1



(2)
# PBE SrScIn, optimized geometry
# Formation energy = 0.02 eV/atom
# Distance to the lowest polymorph of the same formula = 0.331 eV/atom
# Total magnetic moment = 0.000 μB per atom
data_SrScIn
_chemical_formula_sum 'Sr4 Sc4 In4'
_symmetry_space_group_name_H-M 'F -4 3 m'
_symmetry_Int_Tables_number 216
_symmetry_space_group_name_Hall 'F -4 2 3'
_cell_length_a 7.5035
_cell_length_b 7.5035
_cell_length_c 7.5035
_cell_angle_alpha 90.00
_cell_angle_beta 90.00
_cell_angle_gamma 90.00
loop_
_atom_site_label
_atom_site_type_symbol
_atom_site_fract_x
_atom_site_fract_y
_atom_site_fract_z
_atom_site_occupancy
Sr1 Sr 0.0000 0.0000 0.0000 1
Sc1 Sc 0.0000 0.0000 0.5000 1
In1 In 0.2500 0.2500 0.7500 1



(3)
# PBE Nd2YScTl2, optimized geometry
# Formation energy = -0.27 eV/atom
# Total magnetic moment = 0.000 μB per atom
data_Nd2YScTl2
_chemical_formula_sum 'Nd4 Y2 Sc2 Tl4'
_symmetry_space_group_name_H-M 'P m c 21'
_symmetry_Int_Tables_number 26
_symmetry_space_group_name_Hall 'P 2c -2'
_cell_length_a 4.9947
_cell_length_b 10.0081
_cell_length_c 7.0001
_cell_angle_alpha 90.00
_cell_angle_beta 90.00
_cell_angle_gamma 90.00
loop_
_atom_site_label
_atom_site_type_symbol
_atom_site_fract_x
_atom_site_fract_y
_atom_site_fract_z
_atom_site_occupancy
Nd1 Nd 0.0000 0.0496 0.0000 1
Nd2 Nd 0.5000 0.1877 0.2776 1
Y1 Y 0.5000 0.4533 0.8979 1
Sc1 Sc 0.0000 0.3110 0.6043 1
Tl1 Tl 0.0000 0.3886 0.1717 1
Tl2 Tl 0.5000 0.1494 0.7351 1



(4)
# PBE NdHoInCu, optimized geometry
# Formation energy = -0.28 eV/atom
# Total magnetic moment = 0.000 μB per atom
data_NdHoInCu
_chemical_formula_sum 'Nd4 Ho4 In4 Cu4'
_symmetry_space_group_name_H-M 'F -4 3 m'
_symmetry_Int_Tables_number 216
_symmetry_space_group_name_Hall 'F -4 2 3'
_cell_length_a 7.4107
_cell_length_b 7.4107
_cell_length_c 7.4107
_cell_angle_alpha 90.00
_cell_angle_beta 90.00
_cell_angle_gamma 90.00
loop_
_atom_site_label
_atom_site_type_symbol
_atom_site_fract_x
_atom_site_fract_y
_atom_site_fract_z
_atom_site_occupancy
Nd1 Nd 0.0000 0.0000 0.0000 1
Ho1 Ho 0.0000 0.0000 0.5000 1
In1 In 0.2500 0.2500 0.2500 1
Cu1 Cu 0.2500 0.2500 0.7500 1